# 1
# Sr8Cr3N8

A crystal of Sr8Cr3N8 relaxed with PBEsol (meta-GGA SCAN, the Alexandria database).

Structure (POSCAR):
```
Sr8Cr3N8
1.0
9.389 -2.634 0.000
9.389 2.634 0.000
-2.160 0.000 7.196
Sr Cr N
8 3 8
Cartesian
-0.027 0.000 1.920 Sr
1.983 0.000 5.761 Sr
5.097 0.000 3.829 Sr
7.450 0.000 0.330 Sr
9.168 0.000 6.866 Sr
11.520 0.000 3.367 Sr
14.635 0.000 1.434 Sr
16.644 0.000 5.276 Sr
3.074 0.000 1.460 Cr
8.309 0.000 3.598 Cr
13.544 0.000 5.736 Cr
1.972 0.000 0.113 N
2.467 0.000 3.052 N
4.776 0.000 1.203 N
7.378 0.000 5.099 N
9.240 0.000 2.097 N
11.841 0.000 5.993 N
14.151 0.000 4.144 N
14.646 0.000 7.083 N
```

Output
DOS at the Fermi energy = 3.599 states/eV per cell
DFT total energy = -325.98 eV/cell
theoretical density = 4.5 g/cm3
crystal system = monoclinic
SG = No. 12



# 2
# SrCrN2

A crystal of SrCrN2 relaxed with PBEsol (meta-GGA SCAN, the Alexandria database).

Structure (POSCAR):
```
SrCrN2
1.0
0.000 2.885 2.885
2.885 0.000 2.885
2.885 2.885 0.000
Sr Cr N
1 1 2
Cartesian
0.000 0.000 0.000 Sr
2.885 2.885 2.885 Cr
1.443 1.443 1.443 N
4.328 4.328 4.328 N
```

Output
DOS at the Fermi energy = 0.705 states/eV per cell
DFT total energy = -58.17 eV/cell
theoretical density = 5.8 g/cm3
crystal system = cubic
SG = No. 225



# 3
# Sr9Cr2N8

A crystal of Sr9Cr2N8 relaxed with PBEsol (meta-GGA SCAN, the Alexandria database).

Structure (POSCAR):
```
Sr9Cr2N8
1.0
9.950 -2.589 0.000
9.950 2.589 0.000
-3.065 0.000 7.705
Sr Cr N
9 2 8
Cartesian
0.000 0.000 0.000 Sr
0.239 0.000 3.770 Sr
0.553 0.000 7.314 Sr
3.963 0.000 5.207 Sr
8.371 0.000 2.007 Sr
8.464 0.000 5.699 Sr
12.873 0.000 2.498 Sr
16.282 0.000 0.392 Sr
16.596 0.000 3.936 Sr
5.217 0.000 2.331 Cr
11.618 0.000 5.375 Cr
-1.542 0.000 5.722 N
3.505 0.000 2.467 N
5.978 0.000 0.810 N
6.204 0.000 3.738 N
10.632 0.000 3.968 N
10.858 0.000 6.895 N
13.330 0.000 5.239 N
18.377 0.000 1.983 N
```

Output
DOS at the Fermi energy = 2.535 states/eV per cell
DFT total energy = -328.95 eV/cell
theoretical density = 4.2 g/cm3
crystal system = monoclinic
SG = No. 12



# 4
# Sr4CrN4

A crystal of Sr4CrN4 relaxed with PBEsol (meta-GGA SCAN, the Alexandria database).

Structure (POSCAR):
```
Sr4CrN4
1.0
11.580 0.000 0.000
0.000 5.197 0.000
0.000 0.000 11.513
Sr Cr N
16 4 16
Cartesian
0.625 1.299 1.286 Sr
1.038 3.897 3.651 Sr
1.589 3.897 7.659 Sr
2.621 1.299 5.506 Sr
3.169 3.897 11.262 Sr
4.201 1.299 1.903 Sr
4.752 1.299 9.407 Sr
5.165 3.897 7.043 Sr
6.415 1.299 4.470 Sr
6.828 3.897 2.106 Sr
7.379 3.897 9.610 Sr
8.411 1.299 0.250 Sr
8.959 3.897 6.007 Sr
9.991 1.299 3.854 Sr
10.542 1.299 7.862 Sr
10.955 3.897 10.226 Sr
1.556 1.299 9.827 Cr
4.234 3.897 4.071 Cr
7.346 1.299 7.442 Cr
10.024 3.897 1.685 Cr
0.077 3.897 1.252 N
0.814 1.299 3.840 N
1.988 1.299 8.166 N
2.697 1.299 11.138 N
3.093 3.897 5.381 N
3.802 3.897 2.409 N
4.976 3.897 9.596 N
5.713 1.299 7.008 N
5.867 3.897 4.505 N
6.604 1.299 1.916 N
7.778 1.299 9.104 N
8.487 1.299 6.131 N
8.883 3.897 0.375 N
9.592 3.897 3.347 N
10.766 3.897 7.673 N
11.503 1.299 10.261 N
```

Output
DFT total energy = -612.74 eV/cell
theoretical density = 4.4 g/cm3
crystal system = orthorhombic
SG = No. 62



# 5
# Ta3Cr3N

A crystal of Ta3Cr3N relaxed with PBEsol (meta-GGA SCAN, the Alexandria database).

Structure (POSCAR):
```
Ta3Cr3N
1.0
0.000 5.667 5.667
5.667 0.000 5.667
5.667 5.667 0.000
Ta Cr N
12 12 4
Cartesian
4.250 4.250 0.774 Ta
4.250 0.774 4.250 Ta
7.726 4.250 4.250 Ta
7.083 7.083 3.608 Ta
7.083 3.608 7.083 Ta
10.559 7.083 7.083 Ta
0.774 4.250 4.250 Ta
4.250 7.726 4.250 Ta
4.250 4.250 7.726 Ta
3.608 7.083 7.083 Ta
7.083 10.559 7.083 Ta
7.083 7.083 10.559 Ta
5.667 2.833 2.833 Cr
3.361 3.361 3.361 Cr
5.139 5.139 3.361 Cr
5.139 3.361 5.139 Cr
7.972 6.195 6.195 Cr
2.833 5.667 2.833 Cr
2.833 2.833 5.667 Cr
5.667 5.667 5.667 Cr
3.361 5.139 5.139 Cr
6.195 7.972 6.195 Cr
6.195 6.195 7.972 Cr
7.972 7.972 7.972 Cr
0.000 0.000 0.000 N
2.833 2.833 0.000 N
2.833 0.000 2.833 N
0.000 2.833 2.833 N
```

Output
DOS at the Fermi energy = 15.752 states/eV per cell
DFT total energy = -1070.05 eV/cell
theoretical density = 13.0 g/cm3
crystal system = cubic
SG = No. 227



# 6
# Cr3TcN

A crystal of Cr3TcN relaxed with PBEsol (meta-GGA SCAN, the Alexandria database).

Structure (POSCAR):
```
Cr3TcN
1.0
4.551 0.000 0.000
0.000 4.551 0.000
0.000 0.000 4.551
Cr Tc N
3 1 1
Cartesian
0.000 0.000 2.275 Cr
0.000 2.275 0.000 Cr
2.275 0.000 0.000 Cr
0.000 0.000 0.000 Tc
2.275 2.275 2.275 N
```

Output
DOS at the Fermi energy = 3.459 states/eV per cell
energy above the lowest structure with this stoichiometry = 2141 meV per atom
theoretical density = 4.7 g/cm3
crystal system = cubic
SG = No. 221



# 7
# Cr3TcN

A crystal of Cr3TcN relaxed with PBEsol (meta-GGA SCAN, the Alexandria database).

Structure (POSCAR):
```
Cr3TcN
1.0
3.770 0.000 0.000
0.000 3.770 0.000
0.000 0.000 3.770
Cr Tc N
3 1 1
Cartesian
0.000 0.000 1.885 Cr
0.000 1.885 0.000 Cr
1.885 0.000 0.000 Cr
1.885 1.885 1.885 Tc
0.000 0.000 0.000 N
```

Output
DOS at the Fermi energy = 4.187 states/eV per cell
energy above the lowest structure with this stoichiometry = 0 meV per atom
theoretical density = 8.3 g/cm3
crystal system = cubic
SG = No. 221



# 8
# ZnCrTc2N

A crystal of ZnCrTc2N relaxed with PBEsol (meta-GGA SCAN, the Alexandria database).

Structure (POSCAR):
```
ZnCrTc2N
1.0
4.512 0.000 0.000
0.000 4.512 0.000
0.000 0.000 3.487
Zn Cr Tc N
1 1 2 1
Cartesian
0.000 0.000 0.000 Zn
2.256 2.256 1.743 Cr
0.000 2.256 1.743 Tc
2.256 0.000 1.743 Tc
2.256 2.256 0.000 N
```

Output
DOS at the Fermi energy = 4.489 states/eV per cell
DFT total energy = -105.37 eV/cell
theoretical density = 7.7 g/cm3
crystal system = tetragonal
SG = No. 123



# 9
# CrTe3N

A crystal of CrTe3N relaxed with PBEsol (meta-GGA SCAN, the Alexandria database).

Structure (POSCAR):
```
CrTe3N
1.0
5.122 0.000 0.000
0.000 5.122 0.000
0.000 0.000 5.122
Cr Te N
1 3 1
Cartesian
0.000 0.000 0.000 Cr
0.000 0.000 2.561 Te
0.000 2.561 0.000 Te
2.561 0.000 0.000 Te
2.561 2.561 2.561 N
```

Output
DOS at the Fermi energy = 4.185 states/eV per cell
DFT total energy = -133.72 eV/cell
theoretical density = 5.5 g/cm3
crystal system = cubic
SG = No. 221



# 10
# Ti2CrTeN

A crystal of Ti2CrTeN relaxed with PBEsol (meta-GGA SCAN, the Alexandria database).

Structure (POSCAR):
```
Ti2CrTeN
1.0
5.066 0.000 0.000
0.000 5.066 0.000
0.000 0.000 4.074
Ti Cr Te N
2 1 1 1
Cartesian
0.000 2.533 0.000 Ti
2.533 0.000 0.000 Ti
0.000 0.000 2.037 Cr
2.533 2.533 0.000 Te
2.533 2.533 2.037 N
```

Output
DOS at the Fermi energy = 3.344 states/eV per cell
DFT total energy = -90.47 eV/cell
theoretical density = 4.6 g/cm3
crystal system = tetragonal
SG = No. 123



# 11
# CrTe2WN

A crystal of CrTe2WN relaxed with PBEsol (meta-GGA SCAN, the Alexandria database).

Structure (POSCAR):
```
CrTe2WN
1.0
5.165 0.000 0.000
0.000 5.165 0.000
0.000 0.000 3.455
Cr Te W N
1 2 1 1
Cartesian
0.000 0.000 0.000 Cr
0.000 2.583 0.000 Te
2.583 0.000 0.000 Te
2.583 2.583 1.727 W
0.000 0.000 1.727 N
```

Output
DOS at the Fermi energy = 2.019 states/eV per cell
DFT total energy = -168.06 eV/cell
theoretical density = 9.1 g/cm3
crystal system = tetragonal
SG = No. 123



# 12
# ZnCrTeN2

A crystal of ZnCrTeN2 relaxed with PBEsol (meta-GGA SCAN, the Alexandria database).

Structure (POSCAR):
```
ZnCrTeN2
1.0
3.686 0.000 0.000
0.000 3.686 0.000
0.000 0.000 5.447
Zn Cr Te N
1 1 1 2
Cartesian
0.000 0.000 0.000 Zn
1.843 1.843 2.723 Cr
1.843 1.843 0.000 Te
0.000 1.843 2.723 N
1.843 0.000 2.723 N
```

Output
DOS at the Fermi energy = 1.288 states/eV per cell
DFT total energy = -85.98 eV/cell
theoretical density = 6.1 g/cm3
crystal system = tetragonal
SG = No. 123



# 13
# ZrCrTeN2

A crystal of ZrCrTeN2 relaxed with PBEsol (meta-GGA SCAN, the Alexandria database).

Structure (POSCAR):
```
ZrCrTeN2
1.0
4.079 0.000 0.000
0.000 4.079 0.000
0.000 0.000 5.958
Zr Cr Te N
1 1 1 2
Cartesian
0.000 0.000 0.000 Zr
2.039 2.039 2.979 Cr
0.000 0.000 2.979 Te
0.000 2.039 0.000 N
2.039 0.000 0.000 N
```

Output
DOS at the Fermi energy = 2.862 states/eV per cell
energy above the lowest structure with this stoichiometry = 0 meV per atom
theoretical density = 5.0 g/cm3
crystal system = tetragonal
SG = No. 123



# 14
# ZrCrTeN2

A crystal of ZrCrTeN2 relaxed with PBEsol (meta-GGA SCAN, the Alexandria database).

Structure (POSCAR):
```
ZrCrTeN2
1.0
3.845 0.000 0.000
0.000 3.845 0.000
0.000 0.000 5.043
Zr Cr Te N
1 1 1 2
Cartesian
0.000 0.000 0.000 Zr
1.923 1.923 2.522 Cr
1.923 1.923 0.000 Te
0.000 1.923 2.522 N
1.923 0.000 2.522 N
```

Output
DOS at the Fermi energy = 2.970 states/eV per cell
energy above the lowest structure with this stoichiometry = 182 meV per atom
theoretical density = 6.7 g/cm3
crystal system = tetragonal
SG = No. 123



# 15
# TlCrN2

A crystal of TlCrN2 relaxed with PBEsol (meta-GGA SCAN, the Alexandria database).

Structure (POSCAR):
```
TlCrN2
1.0
1.718 0.992 6.030
-1.718 0.992 6.030
0.000 -1.983 6.030
Tl Cr N
1 1 2
Cartesian
0.000 0.000 0.000 Tl
0.000 0.000 9.045 Cr
0.000 0.000 7.285 N
0.000 0.000 10.806 N
```

Output
DOS at the Fermi energy = 1.040 states/eV per cell
DFT total energy = -105.63 eV/cell
theoretical density = 7.7 g/cm3
crystal system = trigonal
SG = No. 166



# 16
# Tl2CrN

A crystal of Tl2CrN relaxed with PBEsol (meta-GGA SCAN, the Alexandria database).

Structure (POSCAR):
```
Tl2CrN
1.0
0.000 3.316 3.316
3.316 0.000 3.316
3.316 3.316 0.000
Tl Cr N
2 1 1
Cartesian
1.658 1.658 1.658 Tl
4.974 4.974 4.974 Tl
0.000 0.000 0.000 Cr
3.316 3.316 3.316 N
```

Output
DOS at the Fermi energy = 1.712 states/eV per cell
DFT total energy = -167.58 eV/cell
theoretical density = 10.8 g/cm3
crystal system = cubic
SG = No. 225



# 17
# TlZnCr2N

A crystal of TlZnCr2N relaxed with PBEsol (meta-GGA SCAN, the Alexandria database).

Structure (POSCAR):
```
TlZnCr2N
1.0
5.234 0.000 0.000
0.000 5.234 0.000
0.000 0.000 4.185
Tl Zn Cr N
1 1 2 1
Cartesian
0.000 0.000 0.000 Tl
2.617 2.617 2.093 Zn
0.000 2.617 0.000 Cr
2.617 0.000 0.000 Cr
0.000 0.000 2.093 N
```

Output
DOS at the Fermi energy = 2.037 states/eV per cell
DFT total energy = -123.72 eV/cell
theoretical density = 5.6 g/cm3
crystal system = tetragonal
SG = No. 123



# 18
# U2CrN3

A crystal of U2CrN3 relaxed with PBEsol (meta-GGA SCAN, the Alexandria database).

Structure (POSCAR):
```
U2CrN3
1.0
-1.618 1.838 6.060
1.618 -1.838 6.060
1.618 1.838 -6.060
U Cr N
2 1 3
Cartesian
0.000 0.000 1.757 U
0.000 0.000 10.362 U
0.000 0.000 6.060 Cr
1.618 0.000 0.000 N
0.000 0.000 4.018 N
0.000 0.000 8.102 N
```

Output
DOS at the Fermi energy = 5.948 states/eV per cell
DFT total energy = -260.60 eV/cell
theoretical density = 13.1 g/cm3
crystal system = orthorhombic
SG = No. 71



# 19
# VCrN2

A crystal of VCrN2 relaxed with PBEsol (meta-GGA SCAN, the Alexandria database).

Structure (POSCAR):
```
VCrN2
1.0
1.464 0.845 4.552
-1.464 0.845 4.552
0.000 -1.690 4.552
V Cr N
1 1 2
Cartesian
0.000 0.000 0.000 V
0.000 0.000 6.828 Cr
0.000 0.000 3.393 N
0.000 0.000 10.264 N
```

Output
DOS at the Fermi energy = 1.812 states/eV per cell
DFT total energy = -58.86 eV/cell
theoretical density = 6.4 g/cm3
crystal system = trigonal
SG = No. 166



# 20
# CrWN3

A crystal of CrWN3 relaxed with PBEsol (meta-GGA SCAN, the Alexandria database).

Structure (POSCAR):
```
CrWN3
1.0
3.913 0.000 0.000
0.000 3.913 0.000
0.000 0.000 3.913
Cr W N
1 1 3
Cartesian
0.000 0.000 0.000 Cr
1.957 1.957 1.957 W
0.000 1.957 1.957 N
1.957 0.000 1.957 N
1.957 1.957 0.000 N
```

Output
DOS at the Fermi energy = 1.771 states/eV per cell
DFT total energy = -114.38 eV/cell
theoretical density = 7.7 g/cm3
crystal system = cubic
SG = No. 221



# 21
# CrW3N

A crystal of CrW3N relaxed with PBEsol (meta-GGA SCAN, the Alexandria database).

Structure (POSCAR):
```
CrW3N
1.0
4.404 0.000 0.000
0.000 4.404 0.000
0.000 0.000 4.404
Cr W N
1 3 1
Cartesian
0.000 0.000 0.000 Cr
0.000 0.000 2.202 W
0.000 2.202 0.000 W
2.202 0.000 0.000 W
2.202 2.202 2.202 N
```

Output
DOS at the Fermi energy = 4.386 states/eV per cell
DFT total energy = -222.88 eV/cell
theoretical density = 12.0 g/cm3
crystal system = cubic
SG = No. 221



# 22
# Zn3CrN

A crystal of Zn3CrN relaxed with PBEsol (meta-GGA SCAN, the Alexandria database).

Structure (POSCAR):
```
Zn3CrN
1.0
4.871 0.000 0.000
0.000 4.871 0.000
0.000 0.000 4.871
Zn Cr N
3 1 1
Cartesian
0.000 0.000 2.435 Zn
0.000 2.435 0.000 Zn
2.435 0.000 0.000 Zn
0.000 0.000 0.000 Cr
2.435 2.435 2.435 N
```

Output
DOS at the Fermi energy = 2.399 states/eV per cell
DFT total energy = -60.41 eV/cell
theoretical density = 3.8 g/cm3
crystal system = cubic
SG = No. 221



# 23
# Zr3CrN

A crystal of Zr3CrN relaxed with PBEsol (meta-GGA SCAN, the Alexandria database).

Structure (POSCAR):
```
Zr3CrN
1.0
4.648 0.000 0.000
0.000 4.648 0.000
0.000 0.000 4.648
Zr Cr N
3 1 1
Cartesian
0.000 0.000 2.324 Zr
0.000 2.324 0.000 Zr
2.324 0.000 0.000 Zr
0.000 0.000 0.000 Cr
2.324 2.324 2.324 N
```

Output
DOS at the Fermi energy = 6.676 states/eV per cell
DFT total energy = -112.83 eV/cell
theoretical density = 5.6 g/cm3
crystal system = cubic
SG = No. 221



# 24
# NaCrNiSe2

A crystal of NaCrNiSe2 relaxed with PBEsol (meta-GGA SCAN, the Alexandria database).

Structure (POSCAR):
```
NaCrNiSe2
1.0
4.641 0.000 0.000
0.000 4.641 0.000
0.000 0.000 4.441
Na Cr Ni Se
1 1 1 2
Cartesian
0.000 0.000 0.000 Na
2.320 2.320 2.220 Cr
2.320 2.320 0.000 Ni
0.000 2.320 2.220 Se
2.320 0.000 2.220 Se
```

Output
DOS at the Fermi energy = 3.293 states/eV per cell
DFT total energy = -78.49 eV/cell
theoretical density = 5.1 g/cm3
crystal system = tetragonal
SG = No. 123